The following is a SCAN calculation of a PBEsol-optimized structure of BeAlCdRe2, from Alexandria.

Properties
**Energy**: -2.5746 Ry/atom
**E_form**: 44.142 kcal/mol of atoms
**N(E_F)**: 0.6301 states/eV per atom

```
5
Lattice="-3.862 2.247 -0.276 -1.668 -2.454 3.353 1.584 3.096 3.054" Properties=species:S:1:pos:R:3 pbc="T T T"
Cd 0.792 1.548 1.527
Re -1.931 1.124 -0.138
Be -1.973 1.445 3.066
Re -0.834 -1.227 1.676
Al 0.000 0.000 0.000
```

=====

The following is a SCAN calculation of a PBEsol-optimized structure of BeAlCl, from Alexandria.

Properties
**Energy**: -0.4084 Ry/atom
**E_form (uncorrected)**: 1.138 eV/atom
**Energy above the lowest structure with this stoichiometry**: 0.930 eV per atom
**N(E_F)**: 0.2849 states/eV per atom

```
3
Lattice="4.691 0.000 0.000 2.345 4.062 0.000 2.345 1.354 3.830" Properties=species:S:1:pos:R:3 pbc="T T T"
Cl 7.036 4.062 2.873
Al 0.000 0.000 0.000
Be 4.691 2.708 1.915
```

=====

The following is a SCAN calculation of a PBEsol-optimized structure of BeAlCl, from Alexandria.

Properties
**Energy**: -0.4767 Ry/atom
**E_form (uncorrected)**: 0.208 eV/atom
**Energy above the lowest structure with this stoichiometry**: 0.000 eV per atom
**N(E_F)**: 0.2007 states/eV per atom

```
3
Lattice="3.047 0.000 0.000 0.000 3.047 0.000 -1.524 -1.524 4.950" Properties=species:S:1:pos:R:3 pbc="T T T"
Cl 0.000 0.000 3.092
Al 0.000 0.000 0.315
Be 1.524 1.524 1.543
```

=====

The following is a SCAN calculation of a PBEsol-optimized structure of BeAl2Cl, from Alexandria.

Properties
**Energy**: -0.5074 Ry/atom
**E_form (uncorrected)**: 0.056 eV/atom
**N(E_F)**: 0.2993 states/eV per atom

```
4
Lattice="2.718 0.000 0.000 0.000 4.852 0.000 0.000 0.000 4.852" Properties=species:S:1:pos:R:3 pbc="T T T"
Al 1.359 2.426 0.000
Al 1.359 0.000 2.426
Be 0.000 0.000 0.000
Cl 1.359 2.426 2.426
```

=====

The following is a SCAN calculation of a PBEsol-optimized structure of Na8BeAl4Si7Cl2O24, from Alexandria.

Properties
**Energy**: -0.6956 Ry/atom
**E_form (uncorrected)**: -2.840 eV/atom
**N(E_F)**: 0.0000 states/eV per atom

```
46
Lattice="8.861 0.000 0.000 0.000 8.861 0.000 0.000 0.000 8.919" Properties=species:S:1:pos:R:3 pbc="T T T"
Al 2.200 4.438 6.699
Al 4.438 6.661 2.220
O 4.959 3.165 0.874
O 1.265 8.399 0.916
O 3.902 5.696 0.874
O 5.696 4.959 8.046
Na 1.582 6.227 3.900
O 3.016 1.299 1.694
O 3.165 3.902 8.046
O 8.376 1.243 5.404
O 0.462 1.265 8.004
Na 7.253 5.960 0.628
O 1.231 3.056 6.269
O 4.935 5.713 3.589
Na 1.608 2.901 0.628
O 7.596 0.462 0.916
O 5.805 1.231 2.650
Si 0.000 0.000 0.000
O 0.485 7.618 5.404
Be 0.000 0.000 4.460
Cl 0.000 4.430 2.256
O 1.243 0.485 3.515
Na 6.227 7.279 5.019
Na 5.960 1.608 8.291
O 3.926 3.147 3.589
O 7.618 8.376 3.515
Na 7.279 2.634 3.900
O 8.399 7.596 8.004
O 3.147 4.935 5.330
O 7.629 5.805 6.269
Cl 4.430 0.000 6.663
Si 2.134 0.050 2.264
Al 4.423 2.200 2.220
Al 6.661 4.423 6.699
Si 0.050 6.727 6.655
Si 4.430 4.430 0.000
Si 4.430 4.430 4.460
O 3.056 7.629 2.650
O 5.713 3.926 5.330
Si 8.811 2.134 6.655
Na 2.634 1.582 5.019
Na 2.901 7.253 8.291
O 5.845 7.562 1.694
O 1.299 5.845 7.226
Si 6.727 8.811 2.264
O 7.562 3.016 7.226
```

=====

The following is a SCAN calculation of a PBEsol-optimized structure of Na4BeAlSi4ClO12, from Alexandria.

Properties
**Energy**: -0.6949 Ry/atom
**E_form (uncorrected)**: -2.856 eV/atom
**Energy above the lowest structure with this stoichiometry**: 0.000 eV per atom
**N(E_F)**: 0.0000 states/eV per atom

```
23
Lattice="-2.909 -3.492 6.048 0.633 -4.848 -5.774 6.909 2.651 1.575" Properties=species:S:1:pos:R:3 pbc="T T T"
O 2.190 -3.579 4.671
Cl 0.000 0.000 0.000
O 6.196 -2.053 -0.060
O 1.694 -3.642 -1.684
Na 0.404 -3.335 -3.554
O 3.617 -2.205 -0.663
Si -0.154 -4.499 1.999
O 4.323 -4.406 -1.982
O -1.767 -4.648 1.863
Si 3.216 -3.218 -1.910
O 3.348 -2.374 -3.327
O 0.110 -3.220 3.016
Na -1.076 -6.966 -1.711
Na 2.129 -6.406 1.150
O 0.684 -4.291 0.657
Na 1.532 -2.170 0.463
Si 1.354 -2.453 3.793
Al 3.885 -0.970 2.762
O 2.389 -1.889 2.673
Be 0.747 -4.719 -0.913
Si 4.849 -1.208 -0.185
O 0.691 -1.393 4.784
O 4.319 -0.436 1.143
```

=====

The following is a SCAN calculation of a PBEsol-optimized structure of Na4BeAlSi4ClO12, from Alexandria.

Properties
**Energy**: -0.6911 Ry/atom
**E_form (uncorrected)**: -2.804 eV/atom
**Energy above the lowest structure with this stoichiometry**: 0.053 eV per atom
**N(E_F)**: 0.0000 states/eV per atom

```
46
Lattice="7.649 -0.008 -0.001 -2.609 7.190 -0.001 -0.012 -0.018 12.464" Properties=species:S:1:pos:R:3 pbc="T T T"
Si 0.098 -0.004 3.144
O 2.483 5.721 6.340
Be 0.001 2.665 1.504
O -0.974 4.046 10.537
Si -0.043 0.082 9.377
Be 2.500 0.898 7.737
Al 5.054 4.554 10.933
Na -0.132 0.970 6.411
O 3.961 3.627 9.939
O -0.326 1.325 2.379
Na 3.528 3.475 6.234
Na 0.963 0.214 0.179
O 1.505 3.211 1.805
O 2.140 0.668 6.169
Na 4.532 1.290 10.134
Na 2.074 4.508 0.002
O 2.413 2.457 4.278
O 2.070 4.967 3.707
Na 4.988 1.328 2.185
Si 2.461 3.542 3.037
Al 2.570 6.310 4.701
O -1.092 3.795 1.922
Si 2.606 0.861 4.661
Na -0.322 4.709 3.902
Si -0.083 2.735 10.893
O 3.934 0.255 8.154
Si 5.106 4.376 1.625
O 1.484 3.096 10.510
Cl 1.192 7.181 0.011
O 5.010 6.283 10.669
O 4.043 3.531 2.567
O 1.939 4.994 8.799
O 4.142 0.469 4.305
Si 2.372 6.281 7.857
O 5.053 5.967 2.027
O 2.502 2.498 8.037
O 3.887 6.773 8.260
O 4.542 4.290 0.108
O 4.211 6.857 4.436
O 7.022 1.533 9.882
Si 2.488 3.510 9.269
Cl 6.342 3.554 6.243
O 1.351 0.135 8.611
O -0.105 2.231 12.401
O -0.940 7.133 3.649
Na -0.454 5.133 8.418
```

=====

The following is a SCAN calculation of a PBEsol-optimized structure of BeAlZnCl2, from Alexandria.

Properties
**Energy**: -0.6150 Ry/atom
**E_form (uncorrected)**: -0.053 eV/atom
**N(E_F)**: 0.2556 states/eV per atom

```
5
Lattice="-3.892 1.426 -0.729 -1.507 -3.909 0.399 -0.708 0.823 5.393" Properties=species:S:1:pos:R:3 pbc="T T T"
Al -3.053 -0.830 2.532
Be 0.000 0.000 0.000
Cl -0.754 -1.954 0.199
Zn -0.354 0.412 2.696
Cl -1.946 0.713 -0.364
```

=====

Repeat the sixth record exactly.
The following is a SCAN calculation of a PBEsol-optimized structure of Na4BeAlSi4ClO12, from Alexandria.

Properties
**Energy**: -0.6949 Ry/atom
**E_form (uncorrected)**: -2.856 eV/atom
**Energy above the lowest structure with this stoichiometry**: 0.000 eV per atom
**N(E_F)**: 0.0000 states/eV per atom

```
23
Lattice="-2.909 -3.492 6.048 0.633 -4.848 -5.774 6.909 2.651 1.575" Properties=species:S:1:pos:R:3 pbc="T T T"
O 2.190 -3.579 4.671
Cl 0.000 0.000 0.000
O 6.196 -2.053 -0.060
O 1.694 -3.642 -1.684
Na 0.404 -3.335 -3.554
O 3.617 -2.205 -0.663
Si -0.154 -4.499 1.999
O 4.323 -4.406 -1.982
O -1.767 -4.648 1.863
Si 3.216 -3.218 -1.910
O 3.348 -2.374 -3.327
O 0.110 -3.220 3.016
Na -1.076 -6.966 -1.711
Na 2.129 -6.406 1.150
O 0.684 -4.291 0.657
Na 1.532 -2.170 0.463
Si 1.354 -2.453 3.793
Al 3.885 -0.970 2.762
O 2.389 -1.889 2.673
Be 0.747 -4.719 -0.913
Si 4.849 -1.208 -0.185
O 0.691 -1.393 4.784
O 4.319 -0.436 1.143
```

=====

Question: Look up the N(E_F) of the seventh one.
Answer: 0.0000 states/eV per atom

=====

Question: Look up the energy of the third one.
Answer: -0.4767 Ry/atom

=====

What did the third record say?
The following is a SCAN calculation of a PBEsol-optimized structure of BeAlCl, from Alexandria.

Properties
**Energy**: -0.4767 Ry/atom
**E_form (uncorrected)**: 0.208 eV/atom
**Energy above the lowest structure with this stoichiometry**: 0.000 eV per atom
**N(E_F)**: 0.2007 states/eV per atom

```
3
Lattice="3.047 0.000 0.000 0.000 3.047 0.000 -1.524 -1.524 4.950" Properties=species:S:1:pos:R:3 pbc="T T T"
Cl 0.000 0.000 3.092
Al 0.000 0.000 0.315
Be 1.524 1.524 1.543
```